a) First-principles (GGA-PBE) data for an optimized crystal structure of LiPrSb, as listed in the Alexandria database.

Cell lengths 4.480, 4.480, 7.617 Å; angles 90.00, 90.00, 90.00 degrees
Space group P4/nmm (No. 129, origin choice 2)
Unique sites:
Li (0.250, 0.750, 0.000)
Pr (0.250, 0.250, 0.342)
Sb (0.250, 0.250, 0.770)


b) First-principles (GGA-PBE) data for an optimized crystal structure of LiPrSb, as listed in the Alexandria database.

Cell lengths 4.5382, 4.5382, 4.2813 Å; angles 90.00, 90.00, 120.00 degrees
Space group P-6m2 (No. 187)
Unique sites:
Li (0.0000, 0.0000, 0.0000)
Pr (0.6667, 0.3333, 0.5000)
Sb (0.3333, 0.6667, 0.0000)


Consider the structures shown above. The least stable of them is b).